# 1
{
  "formula": "Cr4Ge",
  "functional": "PBE-GGA",
  "state": "relaxed",
  "lattice_angstrom": [[4.8080, 0.0000, 0.0000], [0.0000, 4.8080, 0.0000], [0.0000, 0.0000, 4.8080]],
  "species": ["Cr", "Cr", "Cr", "Cr", "Ge"],
  "frac_coords": [[0.0000, 0.0000, 0.0000], [0.0000, 0.5000, 0.5000], [0.5000, 0.0000, 0.5000], [0.5000, 0.5000, 0.0000], [0.5000, 0.5000, 0.5000]],
  "sg": "No. 221"
}

# 2
{
  "formula": "LiZn2AgAu4",
  "functional": "PBE-GGA",
  "state": "relaxed",
  "lattice_angstrom": [[3.9194, 0.0000, 0.0000], [0.0000, 3.9194, 0.0000], [0.0000, 0.0000, 9.7319]],
  "species": ["Li", "Zn", "Zn", "Ag", "Au", "Au", "Au", "Au"],
  "frac_coords": [[0.0000, 0.0000, 0.0000], [0.5000, 0.5000, 0.3761], [0.5000, 0.5000, 0.6239], [0.0000, 0.0000, 0.5000], [0.0000, 0.5000, 0.1918], [0.0000, 0.5000, 0.8082], [0.5000, 0.0000, 0.1918], [0.5000, 0.0000, 0.8082]],
  "sg": "No. 123"
}

Result set for ΔH_f (0 K): 1.4094; -0.0938 eV per atom, one per record in the order listed.
Result set for E: -7.213; -2.647 eV/atom, one per record in the order listed.
Result set for volume: 111.1; 149.5 Å³/f.u., one per record in the order listed.